(1)
SmCd7Hg12 | GGA-PBE | optimized geometry

For the total energy, the calculation gives -46.13 eV/cell.

It has space group R-3 (No. 148, hexagonal axes), with a = 13.9881 Å, b = 13.9881 Å, c = 9.0522 Å, α = 90.00°, β = 90.00° and γ = 120.00°. The distinct sites, in fractional coordinates, are Sm at (0.0000, 0.0000, 0.0000), Cd at (0.0000, 0.0000, 0.5000), Cd at (0.0650, 0.4865, 0.6229), Hg at (0.0071, 0.2495, 0.5721) and Hg at (0.0288, 0.1674, 0.2610).


(2)
MoPbSCl2 | GGA-PBE | optimized geometry

The energy relative to the elements, uncorrected is -16.9 kJ per mole of atoms.

It has space group P4/mmm (No. 123), with a = 5.139 Å, b = 5.139 Å, c = 5.081 Å, α = 90.00°, β = 90.00° and γ = 90.00°. The distinct sites, in fractional coordinates, are Mo at (0.000, 0.000, 0.000), Pb at (0.500, 0.500, 0.500), S at (0.000, 0.000, 0.500) and Cl at (0.000, 0.500, 0.000).


(3)
BaSr2Si | GGA-PBE | optimized geometry

The energy relative to the elements, uncorrected is -19.3 kJ per mole of atoms.

It has space group Cmcm (No. 63), with a = 4.761 Å, b = 14.397 Å, c = 9.857 Å, α = 90.00°, β = 90.00° and γ = 90.00°. The distinct sites, in fractional coordinates, are Ba at (0.000, 0.072, 0.250), Sr at (0.000, 0.344, 0.065) and Si at (0.000, 0.249, 0.750).


(4)
RbPuTl2I6 | GGA-PBE | optimized geometry

The energy relative to the elements, uncorrected is -95.5 kJ per mole of atoms.

It has space group R3 (No. 146, hexagonal axes), with a = 8.7053 Å, b = 8.7053 Å, c = 23.2612 Å, α = 90.00°, β = 90.00° and γ = 120.00°. The distinct sites, in fractional coordinates, are Rb at (0.0000, 0.0000, 0.0000), Pu at (0.0000, 0.0000, 0.4882), Tl at (0.0000, 0.0000, 0.2930), Tl at (0.0000, 0.0000, 0.8064), I at (0.0138, 0.7279, 0.4034) and I at (0.0237, 0.3857, 0.2295).


(5)
KLi2TaS4 | GGA-PBE | optimized geometry

The energy relative to the elements, uncorrected is -97.7 kJ per mole of atoms.

It has space group Imma (No. 74), with a = 7.211 Å, b = 7.317 Å, c = 13.223 Å, α = 90.00°, β = 90.00° and γ = 90.00°. The distinct sites, in fractional coordinates, are K at (0.250, 0.250, 0.250), Li at (0.000, 0.000, 0.000), Li at (0.250, 0.250, 0.750), Ta at (0.000, 0.000, 0.500), S at (0.000, 0.045, 0.680) and S at (0.243, 0.250, 0.488).


(6)
BeCoRePb2 | GGA-PBE | optimized geometry

For the total energy, the calculation gives -23.61 eV/cell.

It has space group P4/mmm (No. 123), with a = 4.967 Å, b = 4.967 Å, c = 4.574 Å, α = 90.00°, β = 90.00° and γ = 90.00°. The distinct sites, in fractional coordinates, are Be at (0.000, 0.000, 0.000), Co at (0.500, 0.500, 0.500), Re at (0.500, 0.500, 0.000) and Pb at (0.000, 0.500, 0.500).


(7)
KReP3 | GGA-PBE | optimized geometry

For the total energy, the calculation gives -28.58 eV/cell.

It has space group Pm-3m (No. 221), with a = 4.747 Å, b = 4.747 Å, c = 4.747 Å, α = 90.00°, β = 90.00° and γ = 90.00°. The distinct sites, in fractional coordinates, are K at (0.000, 0.000, 0.000), Re at (0.500, 0.500, 0.500) and P at (0.000, 0.500, 0.500).


Number 1: D(E_F) 6.015 states/eV/f.u.. Number 2: D(E_F) 2.974 states/eV/f.u.. Number 3: D(E_F) 2.434 states/eV/f.u.. Number 4: D(E_F) 10.718 states/eV/f.u.. Number 5: D(E_F) 1.633 states/eV/f.u.. Number 6: D(E_F) 5.619 states/eV/f.u.. Number 7: D(E_F) 3.615 states/eV/f.u..